Record 1
# Tb3Y5Tl2 | the Alexandria database | PBE | optimized geometry
# - Formation energy from the elements: 133 meV/atom
# - Energy: -4.961 eV per atom
data_Tb3Y5Tl2
_chemical_formula_sum 'Tb12 Y20 Tl8'
_cell_length_a 12.9385
_cell_length_b 15.4914
_cell_length_c 6.4629
_cell_angle_alpha 90.00
_cell_angle_beta 90.00
_cell_angle_gamma 90.00
_symmetry_space_group_name_H-M 'I b a m'
_symmetry_Int_Tables_number 72
_symmetry_space_group_name_Hall '-I 2 2c'
loop_
_atom_site_label
_atom_site_type_symbol
_atom_site_fract_x
_atom_site_fract_y
_atom_site_fract_z
Tb1 Tb 0.0000 0.0000 0.2500
Tb2 Tb 0.1237 0.2188 0.0000
Y1 Y 0.0000 0.5000 0.2500
Y2 Y 0.1079 0.3322 0.5000
Y3 Y 0.2480 0.5000 0.2500
Tl1 Tl 0.1308 0.1436 0.5000

---

Record 2
# GdDyAl | the Alexandria database | PBE | optimized geometry
# - Formation energy from the elements: -152 meV/atom
# - Energy: -7.627 eV per atom
data_GdDyAl
_chemical_formula_sum 'Gd1 Dy1 Al1'
_cell_length_a 5.0792
_cell_length_b 5.0792
_cell_length_c 3.5533
_cell_angle_alpha 90.00
_cell_angle_beta 90.00
_cell_angle_gamma 120.00
_symmetry_space_group_name_H-M 'P 3 m 1'
_symmetry_Int_Tables_number 156
_symmetry_space_group_name_Hall 'P 3 -2"'
loop_
_atom_site_label
_atom_site_type_symbol
_atom_site_fract_x
_atom_site_fract_y
_atom_site_fract_z
Gd1 Gd 0.0000 0.0000 0.0000
Dy1 Dy 0.3333 0.6667 0.5671
Al1 Al 0.6667 0.3333 0.2997

---

Record 3
# Sc2SeO | the Alexandria database | PBE | optimized geometry
# - Energy: -6.758 eV per atom
# - Energy relative to the elements, uncorrected: -1.48 eV/atom
data_Sc2SeO
_chemical_formula_sum 'Sc8 Se4 O4'
_cell_length_a 6.2928
_cell_length_b 6.2928
_cell_length_c 6.2928
_cell_angle_alpha 90.00
_cell_angle_beta 90.00
_cell_angle_gamma 90.00
_symmetry_space_group_name_H-M 'F m -3 m'
_symmetry_Int_Tables_number 225
_symmetry_space_group_name_Hall '-F 4 2 3'
loop_
_atom_site_label
_atom_site_type_symbol
_atom_site_fract_x
_atom_site_fract_y
_atom_site_fract_z
Sc1 Sc 0.2500 0.2500 0.2500
Se1 Se 0.0000 0.0000 0.0000
O1 O 0.0000 0.0000 0.5000

---

Record 4
# Hf6Ga16Rh7 | the Alexandria database | PBE | optimized geometry
# - Formation energy from the elements: -601 meV/atom
# - Energy: -6.105 eV per atom
data_Hf6Ga16Rh7
_chemical_formula_sum 'Hf24 Ga64 Rh28'
_cell_length_a 12.3566
_cell_length_b 12.3566
_cell_length_c 12.3566
_cell_angle_alpha 90.00
_cell_angle_beta 90.00
_cell_angle_gamma 90.00
_symmetry_space_group_name_H-M 'F m -3 m'
_symmetry_Int_Tables_number 225
_symmetry_space_group_name_Hall '-F 4 2 3'
loop_
_atom_site_label
_atom_site_type_symbol
_atom_site_fract_x
_atom_site_fract_y
_atom_site_fract_z
Hf1 Hf 0.0000 0.0000 0.1916
Ga1 Ga 0.1224 0.1224 0.3776
Ga2 Ga 0.1557 0.1557 0.1557
Rh1 Rh 0.0000 0.0000 0.5000
Rh2 Rh 0.0000 0.2500 0.2500

---

Record 5
# TaPtRh2 | the Alexandria database | PBE | optimized geometry
# - Formation energy from the elements: -198 meV/atom
# - Energy: -8.347 eV per atom
data_TaPtRh2
_chemical_formula_sum 'Ta3 Pt3 Rh6'
_cell_length_a 2.8239
_cell_length_b 2.8239
_cell_length_c 27.0916
_cell_angle_alpha 90.00
_cell_angle_beta 90.00
_cell_angle_gamma 120.00
_symmetry_space_group_name_H-M 'R -3 m'
_symmetry_Int_Tables_number 166
_symmetry_space_group_name_Hall '-R 3 2"'
loop_
_atom_site_label
_atom_site_type_symbol
_atom_site_fract_x
_atom_site_fract_y
_atom_site_fract_z
Ta1 Ta 0.0000 0.0000 0.0000
Pt1 Pt 0.0000 0.0000 0.5000
Rh1 Rh 0.0000 0.0000 0.2523

---

Record 6
# ScRe2As | the Alexandria database | PBE | optimized geometry
# - Formation energy from the elements: 60 meV/atom
# - Energy: -8.910 eV per atom
data_ScRe2As
_chemical_formula_sum 'Sc2 Re4 As2'
_cell_length_a 3.7114
_cell_length_b 3.7114
_cell_length_c 9.5985
_cell_angle_alpha 90.00
_cell_angle_beta 90.00
_cell_angle_gamma 90.00
_symmetry_space_group_name_H-M 'I 4/m m m'
_symmetry_Int_Tables_number 139
_symmetry_space_group_name_Hall '-I 4 2'
loop_
_atom_site_label
_atom_site_type_symbol
_atom_site_fract_x
_atom_site_fract_y
_atom_site_fract_z
Sc1 Sc 0.0000 0.0000 0.0000
Re1 Re 0.0000 0.5000 0.2500
As1 As 0.0000 0.0000 0.5000

---

Record 7
# LaTiI3 | the Alexandria database | PBE | optimized geometry
# - Energy: -3.803 eV per atom
# - Energy relative to the elements, uncorrected: -0.31 eV/atom
data_LaTiI3
_chemical_formula_sum 'La1 Ti1 I3'
_cell_length_a 5.4601
_cell_length_b 5.4601
_cell_length_c 5.4601
_cell_angle_alpha 90.00
_cell_angle_beta 90.00
_cell_angle_gamma 90.00
_symmetry_space_group_name_H-M 'P m -3 m'
_symmetry_Int_Tables_number 221
_symmetry_space_group_name_Hall '-P 4 2 3'
loop_
_atom_site_label
_atom_site_type_symbol
_atom_site_fract_x
_atom_site_fract_y
_atom_site_fract_z
La1 La 0.0000 0.0000 0.0000
Ti1 Ti 0.5000 0.5000 0.5000
I1 I 0.0000 0.5000 0.5000

---

Record 8
# LiGaC | the Alexandria database | PBE | optimized geometry
# - Formation energy from the elements: 155 meV/atom
# - Energy: -4.567 eV per atom
data_LiGaC
_chemical_formula_sum 'Li4 Ga4 C4'
_cell_length_a 6.0912
_cell_length_b 3.5487
_cell_length_c 8.5044
_cell_angle_alpha 90.00
_cell_angle_beta 90.06
_cell_angle_gamma 90.00
_symmetry_space_group_name_H-M 'C 1 m 1'
_symmetry_Int_Tables_number 8
_symmetry_space_group_name_Hall 'C -2y'
loop_
_atom_site_label
_atom_site_type_symbol
_atom_site_fract_x
_atom_site_fract_y
_atom_site_fract_z
Li1 Li 0.0000 0.0000 0.0000
Li2 Li 0.1654 0.5000 0.2474
Ga1 Ga 0.1665 0.5000 0.7322
Ga2 Ga 0.3300 0.0000 0.5275
C1 C 0.3305 0.0000 0.1461
C2 C 0.3306 0.0000 0.2953

---

Record 9
# CsLiZn2Pt | the Alexandria database | PBE | optimized geometry
# - Formation energy from the elements: -216 meV/atom
# - Energy: -2.488 eV per atom
data_CsLiZn2Pt
_chemical_formula_sum 'Cs1 Li1 Zn2 Pt1'
_cell_length_a 5.0627
_cell_length_b 5.0627
_cell_length_c 5.0844
_cell_angle_alpha 90.00
_cell_angle_beta 90.00
_cell_angle_gamma 90.00
_symmetry_space_group_name_H-M 'P 4/m m m'
_symmetry_Int_Tables_number 123
_symmetry_space_group_name_Hall '-P 4 2'
loop_
_atom_site_label
_atom_site_type_symbol
_atom_site_fract_x
_atom_site_fract_y
_atom_site_fract_z
Cs1 Cs 0.0000 0.0000 0.0000
Li1 Li 0.5000 0.5000 0.0000
Zn1 Zn 0.0000 0.5000 0.5000
Pt1 Pt 0.5000 0.5000 0.5000

---

Record 10
# EuTiO3 | the Alexandria database | PBE | optimized geometry
# - Energy: -9.737 eV per atom
# - Energy relative to the elements, uncorrected: -3.13 eV/atom
data_EuTiO3
_chemical_formula_sum 'Eu1 Ti1 O3'
_cell_length_a 3.9314
_cell_length_b 3.9314
_cell_length_c 3.9314
_cell_angle_alpha 90.00
_cell_angle_beta 90.00
_cell_angle_gamma 90.00
_symmetry_space_group_name_H-M 'P m -3 m'
_symmetry_Int_Tables_number 221
_symmetry_space_group_name_Hall '-P 4 2 3'
loop_
_atom_site_label
_atom_site_type_symbol
_atom_site_fract_x
_atom_site_fract_y
_atom_site_fract_z
Eu1 Eu 0.0000 0.0000 0.0000
Ti1 Ti 0.5000 0.5000 0.5000
O1 O 0.0000 0.5000 0.5000

---

Record 11
# Li2SbAu2 | the Alexandria database | PBE | optimized geometry
# - Energy: -3.231 eV per atom
# - Energy relative to the elements, uncorrected: -0.33 eV/atom
data_Li2SbAu2
_chemical_formula_sum 'Li4 Sb2 Au4'
_cell_length_a 7.3570
_cell_length_b 7.3570
_cell_length_c 3.2631
_cell_angle_alpha 90.00
_cell_angle_beta 90.00
_cell_angle_gamma 90.00
_symmetry_space_group_name_H-M 'P 4/m b m'
_symmetry_Int_Tables_number 127
_symmetry_space_group_name_Hall '-P 4 2ab'
loop_
_atom_site_label
_atom_site_type_symbol
_atom_site_fract_x
_atom_site_fract_y
_atom_site_fract_z
Li1 Li 0.1362 0.3638 0.0000
Sb1 Sb 0.0000 0.0000 0.0000
Au1 Au 0.1521 0.6521 0.5000

---

Record 12
# MgTcRu2 | the Alexandria database | PBE | optimized geometry
# - Formation energy from the elements: 52 meV/atom
# - Energy: -7.576 eV per atom
data_MgTcRu2
_chemical_formula_sum 'Mg1 Tc1 Ru2'
_cell_length_a 2.9564
_cell_length_b 2.9564
_cell_length_c 6.7170
_cell_angle_alpha 90.00
_cell_angle_beta 90.00
_cell_angle_gamma 90.00
_symmetry_space_group_name_H-M 'P 4/m m m'
_symmetry_Int_Tables_number 123
_symmetry_space_group_name_Hall '-P 4 2'
loop_
_atom_site_label
_atom_site_type_symbol
_atom_site_fract_x
_atom_site_fract_y
_atom_site_fract_z
Mg1 Mg 0.0000 0.0000 0.0000
Tc1 Tc 0.0000 0.0000 0.5000
Ru1 Ru 0.5000 0.5000 0.2583

---

Record 13
# TlZnRh4 | the Alexandria database | PBE | optimized geometry
# - Formation energy from the elements: 237 meV/atom
# - Energy: -5.271 eV per atom
data_TlZnRh4
_chemical_formula_sum 'Tl4 Zn4 Rh16'
_cell_length_a 7.3556
_cell_length_b 7.3556
_cell_length_c 7.3556
_cell_angle_alpha 90.00
_cell_angle_beta 90.00
_cell_angle_gamma 90.00
_symmetry_space_group_name_H-M 'F -4 3 m'
_symmetry_Int_Tables_number 216
_symmetry_space_group_name_Hall 'F -4 2 3'
loop_
_atom_site_label
_atom_site_type_symbol
_atom_site_fract_x
_atom_site_fract_y
_atom_site_fract_z
Tl1 Tl 0.0000 0.0000 0.0000
Zn1 Zn 0.2500 0.2500 0.7500
Rh1 Rh 0.1247 0.1247 0.3753

---

Record 14
# ScNiPtC2 | the Alexandria database | PBE | optimized geometry
# - Formation energy from the elements: 1006 meV/atom
# - Energy: -6.314 eV per atom
data_ScNiPtC2
_chemical_formula_sum 'Sc1 Ni1 Pt1 C2'
_cell_length_a 3.7515
_cell_length_b 3.7515
_cell_length_c 4.8810
_cell_angle_alpha 90.00
_cell_angle_beta 90.00
_cell_angle_gamma 90.00
_symmetry_space_group_name_H-M 'P 4/m m m'
_symmetry_Int_Tables_number 123
_symmetry_space_group_name_Hall '-P 4 2'
loop_
_atom_site_label
_atom_site_type_symbol
_atom_site_fract_x
_atom_site_fract_y
_atom_site_fract_z
Sc1 Sc 0.0000 0.0000 0.0000
Ni1 Ni 0.5000 0.5000 0.5000
Pt1 Pt 0.5000 0.5000 0.0000
C1 C 0.0000 0.5000 0.5000

---

Record 15
# K3Cd8Sn3 | the Alexandria database | PBE | optimized geometry
# - Formation energy from the elements: -107 meV/atom
# - Energy: -1.723 eV per atom
data_K3Cd8Sn3
_chemical_formula_sum 'K6 Cd16 Sn6'
_cell_length_a 5.0539
_cell_length_b 10.8430
_cell_length_c 14.8236
_cell_angle_alpha 90.00
_cell_angle_beta 90.00
_cell_angle_gamma 90.00
_symmetry_space_group_name_H-M 'I m m m'
_symmetry_Int_Tables_number 71
_symmetry_space_group_name_Hall '-I 2 2'
loop_
_atom_site_label
_atom_site_type_symbol
_atom_site_fract_x
_atom_site_fract_y
_atom_site_fract_z
K1 K 0.0000 0.0000 0.0000
K2 K 0.0000 0.0000 0.3057
Cd1 Cd 0.0000 0.2810 0.1371
Cd2 Cd 0.0000 0.3646 0.3317
Sn1 Sn 0.0000 0.2066 0.5000
Sn2 Sn 0.0000 0.5000 0.0000

---

Record 16
# RbFe2I2 | the Alexandria database | PBE | optimized geometry
# - Energy: -3.749 eV per atom
# - Energy relative to the elements, uncorrected: 0.45 eV/atom
data_RbFe2I2
_chemical_formula_sum 'Rb2 Fe4 I4'
_cell_length_a 9.0430
_cell_length_b 9.0430
_cell_length_c 3.9380
_cell_angle_alpha 90.00
_cell_angle_beta 90.00
_cell_angle_gamma 90.00
_symmetry_space_group_name_H-M 'P 4/m b m'
_symmetry_Int_Tables_number 127
_symmetry_space_group_name_Hall '-P 4 2ab'
loop_
_atom_site_label
_atom_site_type_symbol
_atom_site_fract_x
_atom_site_fract_y
_atom_site_fract_z
Rb1 Rb 0.0000 0.0000 0.0000
Fe1 Fe 0.0834 0.4166 0.5000
I1 I 0.1478 0.6478 0.0000

---

Record 17
# Pb2CN2F2 | the Alexandria database | PBE | optimized geometry
# - Energy: -6.236 eV per atom
# - Energy relative to the elements, uncorrected: -0.95 eV/atom
data_Pb2CN2F2
_chemical_formula_sum 'Pb4 C2 N4 F4'
_cell_length_a 9.7181
_cell_length_b 3.9262
_cell_length_c 6.9202
_cell_angle_alpha 90.00
_cell_angle_beta 100.68
_cell_angle_gamma 90.00
_symmetry_space_group_name_H-M 'C 1 2/m 1'
_symmetry_Int_Tables_number 12
_symmetry_space_group_name_Hall '-C 2y'
loop_
_atom_site_label
_atom_site_type_symbol
_atom_site_fract_x
_atom_site_fract_y
_atom_site_fract_z
Pb1 Pb 0.1938 0.0000 0.2428
C1 C 0.0000 0.5000 0.5000
N1 N 0.1205 0.5000 0.4668
F1 F 0.1734 0.0000 0.8440

---

Record 18
# CaPmNd6Y2 | the Alexandria database | PBE | optimized geometry
# - Formation energy from the elements: 133 meV/atom
# - Energy: -4.696 eV per atom
data_CaPmNd6Y2
_chemical_formula_sum 'Ca4 Pm4 Nd24 Y8'
_cell_length_a 9.3477
_cell_length_b 15.5152
_cell_length_c 9.8661
_cell_angle_alpha 90.00
_cell_angle_beta 97.33
_cell_angle_gamma 90.00
_symmetry_space_group_name_H-M 'C 1 2/c 1'
_symmetry_Int_Tables_number 15
_symmetry_space_group_name_Hall '-C 2yc'
loop_
_atom_site_label
_atom_site_type_symbol
_atom_site_fract_x
_atom_site_fract_y
_atom_site_fract_z
Ca1 Ca 0.0000 0.0968 0.2500
Pm1 Pm 0.0000 0.4681 0.7500
Nd1 Nd 0.0630 0.3267 0.4449
Nd2 Nd 0.0984 0.1109 0.6201
Nd3 Nd 0.2048 0.2708 0.8228
Y1 Y 0.2490 0.4523 0.0468

---

Record 19
# LaCe2PuAs4 | the Alexandria database | PBE | optimized geometry
# - Formation energy from the elements: -1346 meV/atom
# - Energy: -7.562 eV per atom
data_LaCe2PuAs4
_chemical_formula_sum 'La1 Ce2 Pu1 As4'
_cell_length_a 7.3463
_cell_length_b 4.2428
_cell_length_c 7.3532
_cell_angle_alpha 90.00
_cell_angle_beta 109.49
_cell_angle_gamma 90.00
_symmetry_space_group_name_H-M 'P 1 2/m 1'
_symmetry_Int_Tables_number 10
_symmetry_space_group_name_Hall '-P 2y'
loop_
_atom_site_label
_atom_site_type_symbol
_atom_site_fract_x
_atom_site_fract_y
_atom_site_fract_z
La1 La 0.0000 0.0000 0.0000
Ce1 Ce 0.5000 0.0000 0.5000
Ce2 Ce 0.5000 0.5000 0.0000
Pu1 Pu 0.0000 0.5000 0.5000
As1 As 0.2517 0.0000 0.7442
As2 As 0.2575 0.5000 0.2584

---

Record 20
# CePmDy2N4 | the Alexandria database | PBE | optimized geometry
# - Energy: -8.233 eV per atom
# - Energy relative to the elements, uncorrected: -1.58 eV/atom
data_CePmDy2N4
_chemical_formula_sum 'Ce1 Pm1 Dy2 N4'
_cell_length_a 6.1046
_cell_length_b 3.5324
_cell_length_c 6.1073
_cell_angle_alpha 90.00
_cell_angle_beta 109.31
_cell_angle_gamma 90.00
_symmetry_space_group_name_H-M 'P 1 2/m 1'
_symmetry_Int_Tables_number 10
_symmetry_space_group_name_Hall '-P 2y'
loop_
_atom_site_label
_atom_site_type_symbol
_atom_site_fract_x
_atom_site_fract_y
_atom_site_fract_z
Ce1 Ce 0.0000 0.0000 0.0000
Pm1 Pm 0.0000 0.5000 0.5000
Dy1 Dy 0.5000 0.0000 0.5000
Dy2 Dy 0.5000 0.5000 0.0000
N1 N 0.2532 0.5000 0.2462
N2 N 0.2544 0.0000 0.7588